No. 1
4
Lattice="0.0000 3.7106 3.7106 3.7106 0.0000 3.7106 3.7106 3.7106 0.0000" Properties=species:S:1:pos:R:3 comment="LuMg2Te, optimized geometry, DFT PBE" crystal_system=cubic pbc="T T T"
Mg 1.8553 1.8553 1.8553
Mg 0.0000 0.0000 0.0000
Lu 3.7106 3.7106 3.7106
Te 5.5659 5.5659 5.5659

---

No. 2
3
Lattice="-2.9569 -2.6770 1.9205 -4.2854 0.3072 -1.0674 -1.9312 -3.2149 -2.3523" Properties=species:S:1:pos:R:3 comment="TcSbAs, optimized geometry, DFT PBE" e_above_lowest_polymorph_mev_per_atom=0 crystal_system=cubic pbc="T T T"
Sb 0.0000 0.0000 0.0000
Tc -6.8801 -4.1886 -1.1244
As -4.5868 -2.7924 -0.7496

---

No. 3
4
Lattice="-0.7120 -4.2663 -1.7040 -4.3051 -1.7462 -0.1709 -2.1280 -0.5411 -4.0977" Properties=species:S:1:pos:R:3 comment="NaNbCdPd, optimized geometry, DFT PBE" e_above_lowest_polymorph_mev_per_atom=0 crystal_system=cubic pbc="T T T"
Nb -3.5725 -3.2768 -2.9863
Cd 0.0000 0.0000 0.0000
Pd -1.7863 -1.6384 -1.4932
Na -5.3588 -4.9152 -4.4794

---

Per-record total magnetic moment, μB/f.u.: 0.00; 0.05; 0.00
Per-record E_tot, eV per atom: -2.8526; -6.2047; -4.1569